(1)
Computed, not measured: an optimized crystal structure of MgTlRe2Sb at the GGA-PBE level of DFT.

Computed properties:
Formation energy without anion corrections ... 1.761 eV per atom
Density of states at the Fermi level ... 4.69 states/eV/cell
Space-group type ... P4/mmm

Unit cell a=4.9974 b=4.9974 c=5.2097 alpha=90.00 beta=90.00 gamma=90.00
Sites, in units of the cell vectors:
Mg (0.0000, 0.0000, 0.0000)
Tl (0.5000, 0.5000, 0.0000)
Re (0.0000, 0.5000, 0.5000)
Re (0.5000, 0.0000, 0.5000)
Sb (0.0000, 0.0000, 0.5000)

(2)
Computed, not measured: an optimized crystal structure of YMgReSb2 at the GGA-PBE level of DFT.

Computed properties:
Formation energy without anion corrections ... 0.334 eV per atom
Density of states at the Fermi level ... 5.20 states/eV/cell
Space-group type ... P4/mmm

Unit cell a=5.1742 b=5.1742 c=5.4899 alpha=90.00 beta=90.00 gamma=90.00
Sites, in units of the cell vectors:
Y (0.0000, 0.0000, 0.0000)
Mg (0.5000, 0.5000, 0.0000)
Re (0.0000, 0.0000, 0.5000)
Sb (0.0000, 0.5000, 0.5000)
Sb (0.5000, 0.0000, 0.5000)

(3)
Computed, not measured: an optimized crystal structure of MgScRe2 at the GGA-PBE level of DFT.

Computed properties:
Calculated formation energy ... 0.252 eV/atom
Density of states at the Fermi level ... 2.91 states/eV/cell
Space-group type ... Pmmm

Unit cell a=2.6788 b=4.4710 c=5.6635 alpha=90.00 beta=90.00 gamma=90.00
Sites, in units of the cell vectors:
Mg (0.0000, 0.0000, 0.0000)
Sc (0.0000, 0.0000, 0.5000)
Re (0.5000, 0.5000, 0.2263)
Re (0.5000, 0.5000, 0.7737)

(4)
Computed, not measured: an optimized crystal structure of MgScRe2 at the GGA-PBE level of DFT.

Computed properties:
Calculated formation energy ... 0.175 eV/atom
Density of states at the Fermi level ... 6.21 states/eV/cell
Space-group type ... C2/m

Unit cell a=5.5198 b=9.1995 c=2.7415 alpha=90.00 beta=108.23 gamma=90.00
Sites, in units of the cell vectors:
Mg (0.0000, 0.0000, 0.0000)
Mg (0.5000, 0.5000, 0.0000)
Sc (0.0000, 0.5000, 0.0000)
Sc (0.5000, 0.0000, 0.0000)
Re (0.2500, 0.2500, 0.5000)
Re (0.2500, 0.7500, 0.5000)
Re (0.7500, 0.2500, 0.5000)
Re (0.7500, 0.7500, 0.5000)

(5)
Computed, not measured: an optimized crystal structure of Mg2ScRe at the GGA-PBE level of DFT.

Computed properties:
Calculated formation energy ... 0.252 eV/atom
Energy relative to the lowest polymorph listed for this composition ... 115 meV per atom
Density of states at the Fermi level ... 6.70 states/eV/cell
Space-group type ... Imm2

Unit cell a=3.2083 b=5.0053 c=9.5914 alpha=90.00 beta=90.00 gamma=90.00
Sites, in units of the cell vectors:
Mg (0.0000, 0.0000, 0.0000)
Mg (0.0000, 0.5000, 0.2360)
Mg (0.5000, 0.0000, 0.7360)
Mg (0.5000, 0.5000, 0.5000)
Sc (0.0000, 0.0000, 0.4505)
Sc (0.5000, 0.5000, 0.9505)
Re (0.0000, 0.5000, 0.7312)
Re (0.5000, 0.0000, 0.2312)

(6)
Computed, not measured: an optimized crystal structure of MgScRe3 at the GGA-PBE level of DFT.

Computed properties:
Calculated formation energy ... 2.186 eV/atom
Energy relative to the lowest polymorph listed for this composition ... 215 meV per atom
Density of states at the Fermi level ... 7.03 states/eV/cell
Space-group type ... Pm-3m

Unit cell a=4.6438 b=4.6438 c=4.6438 alpha=90.00 beta=90.00 gamma=90.00
Sites, in units of the cell vectors:
Mg (0.0000, 0.0000, 0.0000)
Sc (0.5000, 0.5000, 0.5000)
Re (0.0000, 0.5000, 0.5000)
Re (0.5000, 0.0000, 0.5000)
Re (0.5000, 0.5000, 0.0000)

(7)
Computed, not measured: an optimized crystal structure of Mg2ScRe at the GGA-PBE level of DFT.

Computed properties:
Calculated formation energy ... 0.179 eV/atom
Energy relative to the lowest polymorph listed for this composition ... 42 meV per atom
Density of states at the Fermi level ... 2.80 states/eV/cell
Space-group type ... Pm

Unit cell a=2.8953 b=4.2869 c=6.1036 alpha=90.00 beta=91.94 gamma=90.00
Sites, in units of the cell vectors:
Mg (0.0000, 0.0000, 0.0000)
Mg (0.5000, 0.5000, 0.2518)
Sc (0.0126, 0.0000, 0.5420)
Re (0.5162, 0.5000, 0.7528)

(8)
Computed, not measured: an optimized crystal structure of Mg2ScRe at the GGA-PBE level of DFT.

Computed properties:
Calculated formation energy ... 0.306 eV/atom
Energy relative to the lowest polymorph listed for this composition ... 169 meV per atom
Density of states at the Fermi level ... 12.01 states/eV/cell
Space-group type ... R-3m

Unit cell a=2.9166 b=2.9166 c=30.7537 alpha=90.00 beta=90.00 gamma=120.00
Sites, in units of the cell vectors:
Mg (0.0000, 0.0000, 0.2419)
Mg (0.0000, 0.0000, 0.7581)
Mg (0.3333, 0.6667, 0.4247)
Mg (0.3333, 0.6667, 0.9086)
Mg (0.6667, 0.3333, 0.0914)
Mg (0.6667, 0.3333, 0.5753)
Sc (0.0000, 0.0000, 0.0000)
Sc (0.3333, 0.6667, 0.6667)
Sc (0.6667, 0.3333, 0.3333)
Re (0.0000, 0.0000, 0.5000)
Re (0.3333, 0.6667, 0.1667)
Re (0.6667, 0.3333, 0.8333)